Here is an optimized crystal structure of TbUTe6 from Alexandria. Energies are from GGA-PBEsol.

a = 4.3062 Å, b = 4.3134 Å, c = 12.6727 Å
α = 90.00°, β = 99.78°, γ = 90.00°
With the nearest neighbours (Å) after each atom.
Positions (direct):
Te (0.9257, 0.5000, 0.8515)  4 Te 3.05, 2 U 3.17
Te (0.7063, 0.0000, 0.4126)  1 U 3.15, 4 Tb 3.19
Te (0.2966, 0.5000, 0.5932)  4 U 3.18, 1 Tb 3.21
Te (0.0723, 0.0000, 0.1446)  4 Te 3.05, 2 Tb 3.22
Te (0.5727, 0.5000, 0.1453)  4 Te 3.05, 2 Tb 3.21
Te (0.4257, 0.0000, 0.8514)  4 Te 3.05, 2 U 3.17
U (0.8326, 0.0000, 0.6652)  9 Te 3.15-3.18
Tb (0.1681, 0.5000, 0.3363)  9 Te 3.19-3.22

Computed properties:
energy relative to the elements, uncorrected: -0.707 eV per atom
E: -5.50 eV per atom